(1)
## NaReSn2 (PBE-GGA)

Data for a geometry-optimized NaReSn2 structure.

## Properties
Offset from the most stable computed form = 0.00 kcal/mol of atoms

Cell: 6.7856 6.7856 6.7856 Å, 90.00 90.00 90.00°
With the nearest neighbours (Å) after each atom.
Space group Fm-3m (No. 225)
One atom of each set of equivalent atoms:
Na  0.0000  0.0000  0.0000  8 Sn 2.94
Re  0.0000  0.0000  0.5000  8 Sn 2.94
Sn  0.2500  0.2500  0.2500  4 Na 2.94, 4 Re 2.94

(2)
## NaReSn3 (PBE-GGA)

Data for a geometry-optimized NaReSn3 structure.

## Properties
Offset from the most stable computed form = 0.00 kcal/mol of atoms

Cell: 5.2673 5.2673 5.2673 Å, 90.00 90.00 90.00°
With the nearest neighbours (Å) after each atom.
Space group Pm-3m (No. 221)
One atom of each set of equivalent atoms:
Na  0.0000  0.0000  0.0000  12 Sn 3.72
Re  0.5000  0.5000  0.5000  6 Sn 2.63
Sn  0.0000  0.5000  0.5000  2 Re 2.63

(3)
## NaRe2Sn (PBE-GGA)

Data for a geometry-optimized NaRe2Sn structure.

Cell: 7.9605 7.9605 5.0777 Å, 90.00 90.00 90.00°
With the nearest neighbours (Å) after each atom.
Space group I-42d (No. 122)
One atom of each set of equivalent atoms:
Na  0.0000  0.0000  0.0000  2 Sn 2.54
Re  0.2117  0.2500  0.6250  2 Re 2.61, 2 Sn 2.68
Sn  0.0000  0.0000  0.5000  2 Na 2.54, 4 Re 2.68

(4)
## NaRe3Sn (PBE-GGA)

Data for a geometry-optimized NaRe3Sn structure.

## Properties
Offset from the most stable computed form = 0.00 kcal/mol of atoms

Cell: 4.9261 4.9261 4.9261 Å, 90.00 90.00 90.00°
With the nearest neighbours (Å) after each atom.
Space group Pm-3m (No. 221)
One atom of each set of equivalent atoms:
Na  0.0000  0.0000  0.0000  12 Re 3.48
Re  0.0000  0.5000  0.5000  2 Sn 2.46
Sn  0.5000  0.5000  0.5000  6 Re 2.46

| no. | formation energy from the elements (eV per atom) | volume (Å³ per atom) |
| --- | --- | --- |
| 1 | 0.431 | 19.5 |
| 2 | 0.294 | 29.2 |
| 3 | 1.368 | 20.1 |
| 4 | 2.720 | 23.9 |